TaOs2W | PBE-GGA | optimized geometry

Cell: 2.8701 3.8436 5.7073 Å, 90.00 90.00 90.00°
With the nearest neighbours (Å) after each atom.
Atoms (fractional coordinates):
Ta (0.0000, 0.0000, 0.0000)  8 Os 2.81, 2 W 2.85, 2 Ta 2.87
Os (0.5000, 0.5000, 0.2559)  4 W 2.77, 4 Os 2.79-2.92, 4 Ta 2.81
Os (0.5000, 0.5000, 0.7441)  4 W 2.77, 4 Os 2.79-2.92, 4 Ta 2.81
W (0.0000, 0.0000, 0.5000)  8 Os 2.77, 2 Ta 2.85, 2 W 2.87

Calculated values
V in Å³/cell: 63
Symmetry: No. 47
Offset from the most stable computed form in meV per atom: 13.7
Total moment in Bohr magnetons per cell: 0.00
Total energy in eV/atom: -11.837